1.
Crystalline RbH3Pb at its relaxed geometry, computed with PBE.

abc: 4.7021 4.7021 4.7021
angles: 90.00 90.00 90.00
Last column: nearest neighbours and their distance in Å.
Space group Pm-3m (No. 221)
Asymmetric unit:
Rb (0.0000, 0.0000, 0.0000) [1 per cell]  6 H 2.35
H (0.0000, 0.0000, 0.5000) [3 per cell]  2 Rb 2.35
Pb (0.5000, 0.5000, 0.5000) [1 per cell]  12 H 3.32

Calculated values
Crystal system ... cubic
Total moment ... 0.00 μB per formula unit
V ... 20.792 Å³ per atom
DFT total energy ... -2.10 eV per atom

***

2.
Crystalline Ba3AgSn3 at its relaxed geometry, computed with PBE.

abc: 12.5162 5.1862 16.9104
angles: 90.00 111.10 90.00
Last column: nearest neighbours and their distance in Å.
Space group C2/m (No. 12)
Asymmetric unit:
Ba (0.0261, 0.0000, 0.2704) [4 per cell]  6 Sn 3.57-3.69, 2 Ag 3.70
Ba (0.1738, 0.5000, 0.1123) [4 per cell]  7 Sn 3.59-3.95, 4 Ag 3.63-3.72
Ba (0.1762, 0.0000, 0.5794) [4 per cell]  7 Sn 3.64-3.68
Ag (0.1228, 0.5000, 0.8865) [4 per cell]  3 Sn 2.96-2.97
Sn (0.0346, 0.5000, 0.4245) [4 per cell]  2 Sn 2.98-3.00
Sn (0.0813, 0.0000, 0.9558) [4 per cell]  1 Sn 2.93, 2 Ag 2.97
Sn (0.1794, 0.5000, 0.7309) [4 per cell]  1 Ag 2.96, 1 Sn 3.00

Calculated values
Crystal system ... monoclinic
Total moment ... 0.00 μB per formula unit
V ... 36.576 Å³ per atom
ΔE_f ... -602 meV per atom
DFT total energy ... -3.55 eV per atom

***

3.
Crystalline Na3AgPb12 at its relaxed geometry, computed with PBE.

abc: 4.8434 4.8434 20.0387
angles: 90.00 90.00 90.00
Last column: nearest neighbours and their distance in Å.
Space group P4/mmm (No. 123)
Asymmetric unit:
Na (0.0000, 0.0000, 0.0000) [1 per cell]  12 Pb 3.42-3.50
Na (0.0000, 0.0000, 0.2512) [2 per cell]  12 Pb 3.43-3.54
Ag (0.0000, 0.0000, 0.5000) [1 per cell]  12 Pb 3.41-3.42
Pb (0.0000, 0.5000, 0.1263) [4 per cell]  8 Pb 3.42-3.51, 4 Na 3.48-3.50
Pb (0.0000, 0.5000, 0.3804) [4 per cell]  8 Pb 3.41-3.52, 2 Ag 3.41, 2 Na 3.54
Pb (0.5000, 0.5000, 0.0000) [1 per cell]  4 Na 3.42, 8 Pb 3.50
Pb (0.5000, 0.5000, 0.2531) [2 per cell]  4 Na 3.43, 8 Pb 3.51-3.52
Pb (0.5000, 0.5000, 0.5000) [1 per cell]  8 Pb 3.41, 4 Ag 3.42

Calculated values
Crystal system ... tetragonal
Total moment ... 0.00 μB per formula unit
V ... 29.380 Å³ per atom
ΔE_f ... -63 meV per atom
DFT total energy ... -3.27 eV per atom

***

4.
Crystalline Cs12Zn3Hg5 at its relaxed geometry, computed with PBE.

abc: 22.7359 22.7359 22.7359
angles: 90.00 90.00 90.00
Last column: nearest neighbours and their distance in Å.
Space group Ia-3d (No. 230)
Asymmetric unit:
Cs (0.0236, 0.0741, 0.6499) [96 per cell]  2 Hg 3.65-3.84, 1 Zn 4.08
Zn (0.0000, 0.2500, 0.1250) [24 per cell]  8 Cs 4.08-4.41
Hg (0.0000, 0.0000, 0.0000) [16 per cell]  6 Cs 3.84
Hg (0.0000, 0.2500, 0.3750) [24 per cell]  4 Cs 3.65

Calculated values
Crystal system ... cubic
Total moment ... 0.00 μB per formula unit
V ... 73.454 Å³ per atom
ΔE_f ... 56 meV per atom
DFT total energy ... -0.72 eV per atom

***

5.
Crystalline TbCuI at its relaxed geometry, computed with PBE.

abc: 7.1673 4.1583 12.2644
angles: 90.00 100.46 90.00
Last column: nearest neighbours and their distance in Å.
Space group C2/m (No. 12)
Asymmetric unit:
Tb (0.0618, 0.0000, 0.1527) [4 per cell]  6 Cu 2.93-3.11, 3 I 3.19-3.20
Cu (0.1664, 0.5000, 0.9987) [4 per cell]  3 Cu 2.39-2.40
I (0.2182, 0.0000, 0.6719) [4 per cell]  3 Tb 3.19-3.20

Calculated values
Crystal system ... monoclinic
Total moment ... 0.00 μB per formula unit
V ... 29.954 Å³ per atom
DFT total energy ... -4.21 eV per atom
Formation energy (no corrections) ... -781 meV/atom

***

6.
Crystalline LiMnV3 at its relaxed geometry, computed with PBE.

abc: 4.1146 4.1146 4.1146
angles: 90.00 90.00 90.00
Last column: nearest neighbours and their distance in Å.
Space group Pm-3m (No. 221)
Asymmetric unit:
Li (0.0000, 0.0000, 0.0000) [1 per cell]  6 V 2.06
Mn (0.5000, 0.5000, 0.5000) [1 per cell]  12 V 2.91
V (0.0000, 0.0000, 0.5000) [3 per cell]  2 Li 2.06

Calculated values
Crystal system ... cubic
Total moment ... 1.49 μB per formula unit
V ... 13.932 Å³ per atom
ΔE_f ... 1248 meV per atom
DFT total energy ... -6.44 eV per atom

***

7.
Crystalline NaCaSbO2 at its relaxed geometry, computed with PBE.

abc: 4.4198 4.4198 5.3630
angles: 90.00 90.00 90.00
Last column: nearest neighbours and their distance in Å.
Space group P4/mmm (No. 123)
Asymmetric unit:
Na (0.0000, 0.0000, 0.0000) [1 per cell]  2 Sb 2.68
Ca (0.5000, 0.5000, 0.0000) [1 per cell]  4 Na 3.13, 8 O 3.47
Sb (0.0000, 0.0000, 0.5000) [1 per cell]  4 O 2.21
O (0.0000, 0.5000, 0.5000) [2 per cell]  2 Sb 2.21

Calculated values
Crystal system ... tetragonal
Total moment ... 0.00 μB per formula unit
V ... 20.953 Å³ per atom
DFT total energy ... -3.89 eV per atom
Formation energy (no corrections) ... -418 meV/atom

***

8.
Crystalline CaTl6Hg23 at its relaxed geometry, computed with PBE.

abc: 14.9800 14.9800 14.9800
angles: 90.00 90.00 90.00
Last column: nearest neighbours and their distance in Å.
Space group Fm-3m (No. 225)
Asymmetric unit:
Ca (0.0000, 0.0000, 0.0000) [4 per cell]  8 Hg 3.13
Tl (0.0000, 0.0000, 0.2834) [24 per cell]  9 Hg 3.24-3.53
Hg (0.0000, 0.0000, 0.5000) [4 per cell]  6 Tl 3.24
Hg (0.0000, 0.2500, 0.2500) [24 per cell]  8 Hg 3.06-3.28
Hg (0.1207, 0.1207, 0.1207) [32 per cell]  1 Ca 3.13, 6 Hg 3.28-3.40
Hg (0.1586, 0.1586, 0.3414) [32 per cell]  6 Hg 3.06-3.40

Calculated values
Crystal system ... cubic
Total moment ... 0.00 μB per formula unit
V ... 28.013 Å³ per atom
ΔE_f ... -36 meV per atom
DFT total energy ... -0.81 eV per atom

***

9.
Crystalline PmTmTl4 at its relaxed geometry, computed with PBE.

abc: 5.1263 5.1263 7.4242
angles: 90.00 90.00 90.00
Last column: nearest neighbours and their distance in Å.
Space group P4/mmm (No. 123)
Asymmetric unit:
Pm (0.0000, 0.0000, 0.0000) [1 per cell]  8 Tl 3.22
Tm (0.5000, 0.5000, 0.5000) [1 per cell]  8 Tl 3.11
Tl (0.0000, 0.5000, 0.2635) [4 per cell]  2 Tm 3.11, 2 Pm 3.22

Calculated values
Crystal system ... tetragonal
Total moment ... 0.00 μB per formula unit
V ... 32.516 Å³ per atom
ΔE_f ... -5 meV per atom
DFT total energy ... -3.12 eV per atom

***

10.
Crystalline Y8CdPt2 at its relaxed geometry, computed with PBE.

abc: 8.7474 13.5108 5.5077
angles: 90.00 104.10 90.00
Last column: nearest neighbours and their distance in Å.
Space group C2/m (No. 12)
Asymmetric unit:
Y (0.0000, 0.2451, 0.0000) [4 per cell]  2 Pt 2.88
Y (0.1138, 0.5000, 0.8057) [4 per cell]  2 Pt 3.14, 4 Y 3.26-3.47, 1 Cd 3.29
Y (0.2022, 0.1268, 0.5795) [8 per cell]  2 Pt 2.89-2.97
Cd (0.0000, 0.0000, 0.0000) [2 per cell]  12 Y 3.29-3.67
Pt (0.0000, 0.3062, 0.5000) [4 per cell]  8 Y 2.88-3.14

Calculated values
Crystal system ... monoclinic
Total moment ... 0.56 μB per formula unit
V ... 28.697 Å³ per atom
ΔE_f ... -463 meV per atom
DFT total energy ... -6.35 eV per atom

***

11.
Crystalline Ho4AuSe3 at its relaxed geometry, computed with PBE.

abc: 8.3951 11.6469 3.9884
angles: 90.00 90.00 90.00
Last column: nearest neighbours and their distance in Å.
Space group Cmmm (No. 65)
Asymmetric unit:
Ho (0.0000, 0.2484, 0.0000) [4 per cell]  1 Au 2.89, 5 Se 2.90-2.93
Ho (0.2446, 0.0000, 0.5000) [4 per cell]  2 Au 2.86, 4 Se 2.91-2.93
Au (0.0000, 0.0000, 0.0000) [2 per cell]  6 Ho 2.86-2.89
Se (0.0000, 0.5000, 0.0000) [2 per cell]  6 Ho 2.93
Se (0.2500, 0.2500, 0.5000) [4 per cell]  6 Ho 2.90-2.91

Calculated values
Crystal system ... orthorhombic
Total moment ... 0.00 μB per formula unit
V ... 24.373 Å³ per atom
DFT total energy ... -5.51 eV per atom
Formation energy (no corrections) ... -1508 meV/atom

***

12.
Crystalline TbPmSc2In4 at its relaxed geometry, computed with PBE.

abc: 5.2191 5.2191 25.6162
angles: 90.00 90.00 120.00
Last column: nearest neighbours and their distance in Å.
Space group R-3m (No. 166, hexagonal axes)
Asymmetric unit:
Tb (0.0000, 0.0000, 0.0000) [3 per cell]  8 In 3.18-3.19
Pm (0.0000, 0.0000, 0.5000) [3 per cell]  8 In 3.21-3.23
Sc (0.0000, 0.0000, 0.2502) [6 per cell]  8 In 3.17-3.23
In (0.0000, 0.0000, 0.1240) [6 per cell]  1 Tb 3.18, 4 Sc 3.19-3.23, 3 Pm 3.21
In (0.0000, 0.0000, 0.3740) [6 per cell]  4 Sc 3.17-3.20, 3 Tb 3.19, 1 Pm 3.23

Calculated values
Crystal system ... trigonal
Total moment ... 0.00 μB per formula unit
V ... 25.178 Å³ per atom
ΔE_f ... -434 meV per atom
DFT total energy ... -4.56 eV per atom